CsGdTmSe3 PBE optimized geometry; spin magnetization = 0.08 μB/f.u.; space group = Cmcm, No. 63; mass density = 5.6 g/cm³; raw total energy = -59.8 eV for the cell shown
1.0
2.259 -8.164 0.000
2.259 8.164 0.000
0.000 0.000 11.263
Cs Gd Tm Se
2 2 2 6
Direct
0.240 0.760 0.750
0.760 0.240 0.250
0.500 0.500 0.000
0.500 0.500 0.500
0.032 0.968 0.250
0.968 0.032 0.750
0.117 0.883 0.047
0.117 0.883 0.453
0.441 0.559 0.250
0.559 0.441 0.750
0.883 0.117 0.547
0.883 0.117 0.953


CsGdTmSe3 PBE optimized geometry; spin magnetization = 0.20 μB/f.u.; space group = Cmcm, No. 63; mass density = 5.6 g/cm³; raw total energy = -59.2 eV for the cell shown
1.0
2.266 -8.223 0.000
2.266 8.223 0.000
0.000 0.000 11.090
Cs Gd Tm Se
2 2 2 6
Direct
0.240 0.760 0.750
0.760 0.240 0.250
0.031 0.969 0.250
0.969 0.031 0.750
0.500 0.500 0.000
0.500 0.500 0.500
0.114 0.886 0.035
0.114 0.886 0.465
0.438 0.562 0.250
0.562 0.438 0.750
0.886 0.114 0.535
0.886 0.114 0.965


CsGdYSe3 PBE optimized geometry; spin magnetization = 0.14 μB/f.u.; space group = Cmcm, No. 63; mass density = 4.9 g/cm³; raw total energy = -63.8 eV for the cell shown
1.0
2.275 -8.179 0.000
2.275 8.179 0.000
0.000 0.000 11.290
Cs Gd Y Se
2 2 2 6
Direct
0.237 0.763 0.750
0.763 0.237 0.250
0.500 0.500 0.000
0.500 0.500 0.500
0.035 0.965 0.250
0.965 0.035 0.750
0.117 0.883 0.042
0.117 0.883 0.458
0.442 0.558 0.250
0.558 0.442 0.750
0.883 0.117 0.542
0.883 0.117 0.958


CsGdYSe3 PBE optimized geometry; spin magnetization = 0.18 μB/f.u.; space group = Cmcm, No. 63; mass density = 4.9 g/cm³; raw total energy = -63.6 eV for the cell shown
1.0
2.285 -8.191 0.000
2.285 8.191 0.000
0.000 0.000 11.233
Cs Gd Y Se
2 2 2 6
Direct
0.238 0.762 0.750
0.762 0.238 0.250
0.034 0.966 0.250
0.966 0.034 0.750
0.500 0.500 0.000
0.500 0.500 0.500
0.116 0.884 0.039
0.116 0.884 0.461
0.441 0.559 0.250
0.559 0.441 0.750
0.884 0.116 0.539
0.884 0.116 0.961


CsGdSi PBE optimized geometry; spin magnetization = 0.00 μB/f.u.; space group = F-43m, No. 216; mass density = 5.4 g/cm³; raw total energy = -7.8 eV for the cell shown
1.0
0.000 3.655 3.655
3.655 0.000 3.655
3.655 3.655 0.000
Cs Gd Si
1 1 1
Direct
0.000 0.000 0.000
0.750 0.750 0.750
0.250 0.250 0.250


CsGdSi PBE optimized geometry; spin magnetization = 0.00 μB/f.u.; space group = F-43m, No. 216; mass density = 4.8 g/cm³; raw total energy = -9.6 eV for the cell shown
1.0
0.000 3.802 3.802
3.802 0.000 3.802
3.802 3.802 0.000
Cs Gd Si
1 1 1
Direct
0.000 0.000 0.000
0.500 0.500 0.500
0.250 0.250 0.250


CsSmGd PBE optimized geometry; spin magnetization = 3.70 μB/f.u.; space group = F-43m, No. 216; mass density = 4.5 g/cm³; raw total energy = -6.5 eV for the cell shown
1.0
0.000 4.320 4.320
4.320 0.000 4.320
4.320 4.320 0.000
Cs Sm Gd
1 1 1
Direct
0.000 0.000 0.000
0.250 0.250 0.250
0.500 0.500 0.500


CsSmGdTe3 PBE optimized geometry; spin magnetization = 0.23 μB/f.u.; space group = Cmcm, No. 63; mass density = 5.3 g/cm³; raw total energy = -54.4 eV for the cell shown
1.0
2.439 -8.746 0.000
2.439 8.746 0.000
0.000 0.000 12.017
Cs Sm Gd Te
2 2 2 6
Direct
0.244 0.756 0.750
0.756 0.244 0.250
0.500 0.500 0.000
0.500 0.500 0.500
0.032 0.968 0.250
0.968 0.032 0.750
0.121 0.879 0.042
0.121 0.879 0.458
0.435 0.565 0.250
0.565 0.435 0.750
0.879 0.121 0.542
0.879 0.121 0.958